1.
GGA-PBE TbTh14Sc, optimized geometry; uncorrected energy = -7.1412 eV per atom; formation energy from the elements = 36.2 meV/atom
1.0
11.524 0.000 0.000
0.000 3.573 6.187
0.000 -3.573 6.187
Tb Th Sc
1 14 1
Direct
0.000 0.000 0.000 Tb
0.000 0.003 0.507 Th
0.000 0.507 0.003 Th
0.248 0.337 0.337 Th
0.248 0.337 0.834 Th
0.248 0.834 0.337 Th
0.252 0.836 0.836 Th
0.500 0.168 0.168 Th
0.500 0.170 0.668 Th
0.500 0.668 0.170 Th
0.500 0.668 0.668 Th
0.748 0.836 0.836 Th
0.752 0.337 0.337 Th
0.752 0.337 0.834 Th
0.752 0.834 0.337 Th
0.000 0.500 0.500 Sc


2.
GGA-PBE LiErPaRu, optimized geometry; uncorrected energy = -6.4071 eV per atom; formation energy from the elements = -95.0 meV/atom
1.0
0.000 3.449 3.449
3.449 0.000 3.449
3.449 3.449 0.000
Li Er Pa Ru
1 1 1 1
Direct
0.000 0.000 0.000 Li
0.750 0.750 0.750 Er
0.250 0.250 0.250 Pa
0.500 0.500 0.500 Ru


3.
GGA-PBE PmEuAgIr, optimized geometry; uncorrected energy = -7.0740 eV per atom; formation energy from the elements = -389.7 meV/atom
1.0
0.000 3.609 3.609
3.609 0.000 3.609
3.609 3.609 0.000
Pm Eu Ag Ir
1 1 1 1
Direct
0.000 0.000 0.000 Pm
0.500 0.500 0.500 Eu
0.750 0.750 0.750 Ag
0.250 0.250 0.250 Ir


4.
GGA-PBE Y5Ni4, optimized geometry; uncorrected energy = -6.1130 eV per atom; formation energy from the elements = 47.6 meV/atom
1.0
-4.253 4.253 2.618
4.253 -4.253 2.618
4.253 4.253 -2.618
Y Ni
5 4
Direct
0.000 0.000 0.000 Y
0.311 0.311 0.621 Y
0.311 0.689 0.000 Y
0.689 0.311 0.000 Y
0.689 0.689 0.379 Y
0.000 0.354 0.354 Ni
0.000 0.646 0.646 Ni
0.354 0.000 0.354 Ni
0.646 0.000 0.646 Ni


5.
GGA-PBE KAsPt2, optimized geometry; uncorrected energy = -4.4674 eV per atom; formation energy from the elements = -10.2 meV/atom
1.0
4.037 -1.484 0.000
4.037 1.484 0.000
-0.796 0.000 7.447
K As Pt
1 1 2
Direct
0.000 0.000 0.000 K
0.500 0.500 0.500 As
0.236 0.236 0.662 Pt
0.764 0.764 0.338 Pt


6.
GGA-PBE BaGeAuCl2, optimized geometry; uncorrected energy = -3.3139 eV per atom; energy relative to the elements, uncorrected = -14.11 kcal/mol of atoms
1.0
5.566 0.000 0.000
0.000 5.566 0.000
0.000 0.000 4.846
Ba Ge Au Cl
1 1 1 2
Direct
0.000 0.000 0.000 Ba
0.500 0.500 0.000 Ge
0.500 0.500 0.500 Au
0.000 0.500 0.500 Cl
0.500 0.000 0.500 Cl


| no. | volume (Å³/atom) | total moment (μB/atom) |
| --- | --- | --- |
| 1 | 31.84 | 0.00 |
| 2 | 20.51 | 0.00 |
| 3 | 23.49 | 1.77 |
| 4 | 21.05 | 0.00 |
| 5 | 22.31 | 0.00 |
| 6 | 30.02 | 0.00 |